## SmGdHoSn (GGA-PBE)

Data for a relaxed SmGdHoSn crystal.

Output
Fermi-level density of states	1.023	states/eV/atom
raw total energy	-7.111	eV per atom
ΔH_f (0 K)	-0.2656	eV/atom

```
data_SmGdHoSn
_chemical_formula_sum 'Sm4 Gd4 Ho4 Sn4'
_space_group_name_H-M_alt 'F -4 3 m'
_space_group_IT_number 216
_space_group_name_Hall 'F -4 2 3'
_cell_length_a 7.7137
_cell_length_b 7.7137
_cell_length_c 7.7137
_cell_angle_alpha 90.00
_cell_angle_beta 90.00
_cell_angle_gamma 90.00
loop_
_atom_site_label
_atom_site_type_symbol
_atom_site_fract_x
_atom_site_fract_y
_atom_site_fract_z
Sm1 Sm 0.0000 0.0000 0.0000
Gd1 Gd 0.0000 0.0000 0.5000
Ho1 Ho 0.2500 0.2500 0.7500
Sn1 Sn 0.2500 0.2500 0.2500
```

## RbSc3Te4 (GGA-PBE)

Data for a relaxed RbSc3Te4 crystal.

Output
Fermi-level density of states	0.489	states/eV/atom
raw total energy	-5.238	eV per atom
formation energy without anion corrections	-1.172	eV per atom

```
data_RbSc3Te4
_chemical_formula_sum 'Rb2 Sc6 Te8'
_space_group_name_H-M_alt 'P 63/m m c'
_space_group_IT_number 194
_space_group_name_Hall '-P 6c 2c'
_cell_length_a 4.2456
_cell_length_b 4.2456
_cell_length_c 30.5301
_cell_angle_alpha 90.00
_cell_angle_beta 90.00
_cell_angle_gamma 120.00
loop_
_atom_site_label
_atom_site_type_symbol
_atom_site_fract_x
_atom_site_fract_y
_atom_site_fract_z
Rb1 Rb 0.3333 0.6667 0.2500
Sc1 Sc 0.0000 0.0000 0.0000
Sc2 Sc 0.3333 0.6667 0.6100
Te1 Te 0.0000 0.0000 0.1631
Te2 Te 0.3333 0.6667 0.0546
```

## Ti3GePd (GGA-PBE)

Data for a relaxed Ti3GePd crystal.

Output
Fermi-level density of states	0.781	states/eV/atom
energy above the most stable polymorph in this dataset	3.491	eV per formula unit
raw total energy	-6.223	eV per atom
ΔH_f (0 K)	0.4757	eV/atom

```
data_Ti3GePd
_chemical_formula_sum 'Ti3 Ge1 Pd1'
_space_group_name_H-M_alt 'P m -3 m'
_space_group_IT_number 221
_space_group_name_Hall '-P 4 2 3'
_cell_length_a 4.7279
_cell_length_b 4.7279
_cell_length_c 4.7279
_cell_angle_alpha 90.00
_cell_angle_beta 90.00
_cell_angle_gamma 90.00
loop_
_atom_site_label
_atom_site_type_symbol
_atom_site_fract_x
_atom_site_fract_y
_atom_site_fract_z
Ti1 Ti 0.0000 0.0000 0.5000
Ge1 Ge 0.5000 0.5000 0.5000
Pd1 Pd 0.0000 0.0000 0.0000
```

## PmPrN2 (GGA-PBE)

Data for a relaxed PmPrN2 crystal.

Output
Fermi-level density of states	0.189	states/eV/atom
energy above the most stable polymorph in this dataset	0.000	eV per formula unit
raw total energy	-7.903	eV per atom
formation energy without anion corrections	-1.358	eV per atom

```
data_PmPrN2
_chemical_formula_sum 'Pm4 Pr4 N8'
_space_group_name_H-M_alt 'C 1 2/m 1'
_space_group_IT_number 12
_cell_length_a 11.5552
_cell_length_b 5.1623
_cell_length_c 5.1724
_cell_angle_alpha 90.00
_cell_angle_beta 116.58
_cell_angle_gamma 90.00
loop_
_space_group_symop_operation_xyz
'x,y,z'
'-x,-y,-z'
'-x,y,-z'
'x,-y,z'
'x+1/2,y+1/2,z'
'-x+1/2,-y+1/2,-z'
'-x+1/2,y+1/2,-z'
'x+1/2,-y+1/2,z'
loop_
_atom_site_label
_atom_site_type_symbol
_atom_site_fract_x
_atom_site_fract_y
_atom_site_fract_z
Pm1 Pm 0.1250 0.0000 0.3779
Pr1 Pr 0.1250 0.5000 0.8767
N1 N 0.1221 0.0000 0.8647
N2 N 0.1279 0.5000 0.3726
```